(1)
Crystalline Sm7Y3Mg at its relaxed geometry, computed with PBE.

```
11
Lattice="7.0871 0.0000 0.0000 -3.5435 6.1376 0.0000 0.0000 0.0000 8.6622" Properties=species:S:1:pos:R:3 pbc="T T T"
Sm 0.0000 0.0000 0.0016
Sm -1.7676 3.0712 0.0000
Sm 1.7444 1.0071 5.7950
Sm 1.7676 3.0712 0.0000
Sm 0.0000 6.1327 0.0000
Sm 5.3427 1.0071 5.7950
Sm 3.5435 4.1233 5.7950
Y 0.0000 2.0341 2.8932
Y -1.7820 5.1205 2.8932
Y 1.7820 5.1205 2.8932
Mg 0.0000 4.0917 5.7757
```

Computed properties:
For the total energy, the calculation gives -52.0 eV per cell. As for the space group: P3m1, No. 156. The value obtained for the calculated density is 5.9 Mg/m³. The energy relative to the elements comes out at 0.185 eV/atom. For the density of states at the Fermi level, the calculation gives 15.9 states/eV per cell.



(2)
Crystalline Sm6Y5Mg at its relaxed geometry, computed with PBE.

```
12
Lattice="-2.5392 5.0178 7.6188 2.5392 -5.0178 7.6188 2.5392 5.0178 -7.6188" Properties=species:S:1:pos:R:3 pbc="T T T"
Sm 2.5392 -2.5328 5.0762
Sm 2.5392 2.4943 0.0000
Sm 0.0000 2.4849 2.5426
Sm 2.5392 2.5328 5.0762
Sm 0.0000 2.5235 7.6188
Sm 0.0000 7.5506 2.5426
Y 2.5392 0.0000 2.5463
Y 0.0000 0.0000 5.0991
Y 0.0000 5.0178 0.0000
Y 0.0000 0.0000 10.1385
Y 0.0000 5.0178 5.0725
Mg 0.0000 0.0000 0.0000
```

Computed properties:
For the total energy, the calculation gives -62.0 eV per cell. As for the space group: Immm, No. 71. The value obtained for the calculated density is 5.9 Mg/m³. The energy relative to the elements comes out at 0.018 eV/atom. For the density of states at the Fermi level, the calculation gives 18.3 states/eV per cell.



(3)
Crystalline Sm8Y3Mg at its relaxed geometry, computed with PBE.

```
12
Lattice="-4.3458 4.3458 5.6966 4.3458 -4.3458 5.6966 4.3458 4.3458 -5.6966" Properties=species:S:1:pos:R:3 pbc="T T T"
Sm 3.2469 3.2469 -2.8596
Sm 2.2003 -2.2003 5.6814
Sm 2.1455 2.1455 0.0152
Sm 1.0989 1.0989 2.8370
Sm 1.0989 -1.0989 8.5562
Sm -2.2003 2.2003 5.6814
Sm 2.2003 2.2003 5.7117
Sm -1.0989 1.0989 8.5562
Y 4.3458 0.0000 2.8483
Y 0.0000 0.0000 5.6966
Y 0.0000 4.3458 2.8483
Mg 0.0000 0.0000 0.0000
```

Computed properties:
For the total energy, the calculation gives -52.0 eV per cell. As for the space group: I-42m, No. 121. The value obtained for the calculated density is 5.8 Mg/m³. The energy relative to the elements comes out at 0.564 eV/atom. For the density of states at the Fermi level, the calculation gives 17.4 states/eV per cell.



(4)
Crystalline Sm6Y12Mg at its relaxed geometry, computed with PBE.

```
19
Lattice="6.5388 3.7752 4.3361 -6.5388 3.7752 4.3361 0.0000 -7.5503 4.3361" Properties=species:S:1:pos:R:3 pbc="T T T"
Sm -1.7818 -1.0287 3.5630
Sm 1.7818 -1.0287 3.5630
Sm 0.0000 2.0575 3.5630
Sm 0.0000 -2.0575 9.4454
Sm -1.7818 1.0287 9.4454
Sm 1.7818 1.0287 9.4454
Y 0.0000 -4.3611 3.6674
Y -3.7768 2.1806 3.6674
Y -1.7121 -2.9655 6.5042
Y -3.4242 0.0000 6.5042
Y -3.7768 -2.1806 9.3410
Y 1.7121 -2.9655 6.5042
Y -1.7121 2.9655 6.5042
Y 3.7768 2.1806 3.6674
Y 3.4242 0.0000 6.5042
Y 1.7121 2.9655 6.5042
Y 3.7768 -2.1805 9.3410
Y 0.0000 4.3611 9.3410
Mg 0.0000 0.0000 6.5042
```

Computed properties:
For the total energy, the calculation gives -104.8 eV per cell. As for the space group: R-3m, No. 166. The value obtained for the calculated density is 5.2 Mg/m³. The energy relative to the elements comes out at 0.140 eV/atom. For the density of states at the Fermi level, the calculation gives 34.1 states/eV per cell. The value obtained for the distance to the lowest polymorph of the same formula is 20 meV/atom.



Copy entry 3 word for word.
Crystalline Sm8Y3Mg at its relaxed geometry, computed with PBE.

```
12
Lattice="-4.3458 4.3458 5.6966 4.3458 -4.3458 5.6966 4.3458 4.3458 -5.6966" Properties=species:S:1:pos:R:3 pbc="T T T"
Sm 3.2469 3.2469 -2.8596
Sm 2.2003 -2.2003 5.6814
Sm 2.1455 2.1455 0.0152
Sm 1.0989 1.0989 2.8370
Sm 1.0989 -1.0989 8.5562
Sm -2.2003 2.2003 5.6814
Sm 2.2003 2.2003 5.7117
Sm -1.0989 1.0989 8.5562
Y 4.3458 0.0000 2.8483
Y 0.0000 0.0000 5.6966
Y 0.0000 4.3458 2.8483
Mg 0.0000 0.0000 0.0000
```

Computed properties:
For the total energy, the calculation gives -52.0 eV per cell. As for the space group: I-42m, No. 121. The value obtained for the calculated density is 5.8 Mg/m³. The energy relative to the elements comes out at 0.564 eV/atom. For the density of states at the Fermi level, the calculation gives 17.4 states/eV per cell.



The lowest total energy belongs to which entry? Sm6Y12Mg



Which value of total energy does entry 1 give? -52.0 eV per cell